[1]
Entry from Alexandria: a geometry-optimized Pm2W2O7 structure (PBE+U).

a = 7.501 Å, b = 7.501 Å, c = 7.501 Å
α = 60.00°, β = 60.00°, γ = 60.00°
Positions (direct):
Pm: 0.000 0.000 0.000
Pm: 0.000 0.000 0.500
Pm: 0.000 0.500 0.000
Pm: 0.500 0.000 0.000
W: 0.000 0.500 0.500
W: 0.500 0.000 0.500
W: 0.500 0.500 0.000
W: 0.500 0.500 0.500
O: 0.125 0.125 0.125
O: 0.165 0.165 0.585
O: 0.165 0.585 0.165
O: 0.165 0.585 0.585
O: 0.415 0.415 0.835
O: 0.415 0.835 0.415
O: 0.415 0.835 0.835
O: 0.585 0.165 0.165
O: 0.585 0.165 0.585
O: 0.585 0.585 0.165
O: 0.835 0.415 0.415
O: 0.835 0.415 0.835
O: 0.835 0.835 0.415
O: 0.875 0.875 0.875

uncorrected energy: -7.97 eV/atom
volume: 298 Å³/cell


[2]
Entry from Alexandria: a geometry-optimized Pm3WO6 structure (PBE+U).

a = 7.370 Å, b = 7.370 Å, c = 5.836 Å
α = 90.00°, β = 90.00°, γ = 102.62°
Positions (direct):
Pm: 0.101 0.899 0.500
Pm: 0.199 0.407 0.452
Pm: 0.407 0.199 0.952
Pm: 0.593 0.801 0.452
Pm: 0.801 0.593 0.952
Pm: 0.899 0.101 0.000
W: 0.306 0.694 0.939
W: 0.694 0.306 0.439
O: 0.080 0.607 0.712
O: 0.142 0.175 0.722
O: 0.175 0.142 0.222
O: 0.286 0.714 0.266
O: 0.393 0.920 0.712
O: 0.455 0.545 0.719
O: 0.545 0.455 0.219
O: 0.607 0.080 0.212
O: 0.714 0.286 0.766
O: 0.825 0.858 0.722
O: 0.858 0.825 0.222
O: 0.920 0.393 0.212

uncorrected energy: -7.98 eV/atom
volume: 309 Å³/cell


[3]
Entry from Alexandria: a geometry-optimized Pm4W6O19 structure (PBE+U).

a = 7.848 Å, b = 7.848 Å, c = 7.848 Å
α = 109.47°, β = 109.47°, γ = 109.47°
Positions (direct):
Pm: 0.000 0.000 0.695
Pm: 0.000 0.695 0.000
Pm: 0.305 0.305 0.305
Pm: 0.695 0.000 0.000
W: 0.142 0.642 0.500
W: 0.358 0.500 0.858
W: 0.500 0.142 0.642
W: 0.500 0.858 0.358
W: 0.642 0.500 0.142
W: 0.858 0.358 0.500
O: 0.000 0.000 0.000
O: 0.000 0.318 0.318
O: 0.000 0.682 0.682
O: 0.044 0.373 0.757
O: 0.243 0.615 0.287
O: 0.287 0.243 0.615
O: 0.318 0.000 0.318
O: 0.318 0.318 0.000
O: 0.328 0.956 0.713
O: 0.373 0.757 0.044
O: 0.385 0.627 0.672
O: 0.615 0.287 0.243
O: 0.627 0.672 0.385
O: 0.672 0.385 0.627
O: 0.682 0.000 0.682
O: 0.682 0.682 0.000
O: 0.713 0.328 0.956
O: 0.757 0.044 0.373
O: 0.956 0.713 0.328

uncorrected energy: -7.76 eV/atom
volume: 372 Å³/cell


[4]
Entry from Alexandria: a geometry-optimized PmWO6 structure (PBE+U).

a = 6.053 Å, b = 6.053 Å, c = 6.053 Å
α = 60.00°, β = 60.00°, γ = 60.00°
Positions (direct):
Pm: 0.000 0.000 0.000
W: 0.500 0.500 0.500
O: 0.275 0.275 0.725
O: 0.275 0.725 0.275
O: 0.275 0.725 0.725
O: 0.725 0.275 0.275
O: 0.725 0.275 0.725
O: 0.725 0.725 0.275

uncorrected energy: -6.90 eV/atom
volume: 157 Å³/cell


[5]
Entry from Alexandria: a geometry-optimized PmW2O6 structure (PBE+U).

a = 5.368 Å, b = 5.368 Å, c = 5.058 Å
α = 90.00°, β = 90.00°, γ = 120.00°
Positions (direct):
Pm: 0.000 0.000 0.000
W: 0.333 0.667 0.500
W: 0.667 0.333 0.500
O: 0.000 0.360 0.278
O: 0.000 0.640 0.722
O: 0.360 0.000 0.278
O: 0.360 0.360 0.722
O: 0.640 0.000 0.722
O: 0.640 0.640 0.278

uncorrected energy: -7.76 eV/atom
volume: 126 Å³/cell


[6]
Entry from Alexandria: a geometry-optimized Pm2YWO8 structure (PBE+U).

a = 5.174 Å, b = 6.934 Å, c = 5.176 Å
α = 90.00°, β = 90.91°, γ = 90.00°
Positions (direct):
Pm: 0.000 0.250 0.000
Pm: 0.000 0.750 0.000
Y: 0.500 0.000 0.500
W: 0.500 0.500 0.500
O: 0.197 0.000 0.198
O: 0.231 0.500 0.233
O: 0.322 0.289 0.679
O: 0.322 0.711 0.679
O: 0.678 0.289 0.321
O: 0.678 0.711 0.321
O: 0.769 0.500 0.767
O: 0.803 0.000 0.802

uncorrected energy: -8.00 eV/atom
volume: 186 Å³/cell